Entry 1:
Compound: Tm3Ga8Co3
Source: the Alexandria database
Functional: PBE
Structure: relaxed

Computed properties:
As for the energy of formation from the pure elements: -0.494 eV per atom.

The structure in CIF format:
```
data_Tm3Ga8Co3
_symmetry_space_group_name_H-M 'I m m m'
_symmetry_Int_Tables_number 71
_symmetry_space_group_name_Hall '-I 2 2'
_cell_length_a 4.0985
_cell_length_b 9.6122
_cell_length_c 12.0157
_cell_angle_alpha 90.00
_cell_angle_beta 90.00
_cell_angle_gamma 90.00
loop_
_atom_site_label
_atom_site_type_symbol
_atom_site_fract_x
_atom_site_fract_y
_atom_site_fract_z
Tm1 Tm 0.0000 0.0000 0.0000
Tm2 Tm 0.0000 0.0000 0.3303
Ga1 Ga 0.0000 0.2894 0.1167
Ga2 Ga 0.0000 0.3661 0.3357
Co1 Co 0.0000 0.2131 0.5000
Co2 Co 0.0000 0.5000 0.0000
```

---

Entry 2:
Compound: Pr3Ho2TmTe6
Source: the Alexandria database
Functional: PBE
Structure: relaxed

Computed properties:
The energy relative to the elements, uncorrected comes out at -1.3396 eV per atom.

The structure in CIF format:
```
data_Pr3Ho2TmTe6
_symmetry_space_group_name_H-M 'C 1 2/m 1'
_symmetry_Int_Tables_number 12
_symmetry_space_group_name_Hall '-C 2y'
_cell_length_a 19.5104
_cell_length_b 4.3519
_cell_length_c 9.0231
_cell_angle_alpha 90.00
_cell_angle_beta 105.85
_cell_angle_gamma 90.00
loop_
_atom_site_label
_atom_site_type_symbol
_atom_site_fract_x
_atom_site_fract_y
_atom_site_fract_z
Pr1 Pr 0.0000 0.0000 0.0000
Pr2 Pr 0.1680 0.5000 0.3338
Ho1 Ho 0.1675 0.5000 0.8345
Tm1 Tm 0.0000 0.0000 0.5000
Te1 Te 0.0034 0.5000 0.7384
Te2 Te 0.1616 0.0000 0.5919
Te3 Te 0.1699 0.0000 0.0740
```

---

Entry 3:
Compound: Cs12K7Rb
Source: the Alexandria database
Functional: PBE
Structure: relaxed

Computed properties:
As for the energy of formation from the pure elements: 0.011 eV per atom.

The structure in CIF format:
```
data_Cs12K7Rb
_symmetry_space_group_name_H-M 'R -3'
_symmetry_Int_Tables_number 148
_symmetry_space_group_name_Hall '-R 3'
_cell_length_a 21.3997
_cell_length_b 21.3997
_cell_length_c 14.9862
_cell_angle_alpha 90.00
_cell_angle_beta 90.00
_cell_angle_gamma 120.00
loop_
_atom_site_label
_atom_site_type_symbol
_atom_site_fract_x
_atom_site_fract_y
_atom_site_fract_z
Cs1 Cs 0.0325 0.7746 0.0680
Cs2 Cs 0.0392 0.8644 0.7468
K1 K 0.0000 0.0000 0.0000
K2 K 0.0797 0.8276 0.4339
Rb1 Rb 0.0000 0.0000 0.5000
```

---

Entry 4:
Compound: ScHgCl
Source: the Alexandria database
Functional: PBE
Structure: relaxed

Computed properties:
The calculation puts the relative energy among the computed polymorphs at 0.0 meV/atom. The energy relative to the elements, uncorrected comes out at -0.9167 eV per atom.

The structure in CIF format:
```
data_ScHgCl
_symmetry_space_group_name_H-M 'P 3 m 1'
_symmetry_Int_Tables_number 156
_symmetry_space_group_name_Hall 'P 3 -2"'
_cell_length_a 3.4959
_cell_length_b 3.4959
_cell_length_c 7.5705
_cell_angle_alpha 90.00
_cell_angle_beta 90.00
_cell_angle_gamma 120.00
loop_
_atom_site_label
_atom_site_type_symbol
_atom_site_fract_x
_atom_site_fract_y
_atom_site_fract_z
Sc1 Sc 0.0000 0.0000 0.0000
Hg1 Hg 0.6667 0.3333 0.7226
Cl1 Cl 0.3333 0.6667 0.2154
```

---

Entry 5:
Compound: CrIrSN2
Source: the Alexandria database
Functional: PBE
Structure: relaxed

Computed properties:
The calculation puts the relative energy among the computed polymorphs at 161.4 meV/atom. The energy relative to the elements, uncorrected comes out at 0.9389 eV per atom.

The structure in CIF format:
```
data_CrIrSN2
_symmetry_space_group_name_H-M 'P 4/m m m'
_symmetry_Int_Tables_number 123
_symmetry_space_group_name_Hall '-P 4 2'
_cell_length_a 3.5845
_cell_length_b 3.5845
_cell_length_c 4.9766
_cell_angle_alpha 90.00
_cell_angle_beta 90.00
_cell_angle_gamma 90.00
loop_
_atom_site_label
_atom_site_type_symbol
_atom_site_fract_x
_atom_site_fract_y
_atom_site_fract_z
Cr1 Cr 0.0000 0.0000 0.0000
Ir1 Ir 0.5000 0.5000 0.5000
S1 S 0.0000 0.0000 0.5000
N1 N 0.0000 0.5000 0.0000
```

---

Entry 6:
Compound: DyGeMo
Source: the Alexandria database
Functional: PBE
Structure: relaxed

Computed properties:
As for the energy of formation from the pure elements: -0.499 eV per atom.

The structure in CIF format:
```
data_DyGeMo
_symmetry_space_group_name_H-M 'P 4/n m m'
_symmetry_Int_Tables_number 129
_cell_length_a 3.9303
_cell_length_b 3.9303
_cell_length_c 7.7549
_cell_angle_alpha 90.00
_cell_angle_beta 90.00
_cell_angle_gamma 90.00
loop_
_symmetry_equiv_pos_as_xyz
'x,y,z'
'-x,-y,-z'
'-y+1/2,x,z'
'y+1/2,-x,-z'
'-x+1/2,-y+1/2,z'
'x+1/2,y+1/2,-z'
'y,-x+1/2,z'
'-y,x+1/2,-z'
'x+1/2,-y,-z'
'-x+1/2,y,z'
'-y,-x,-z'
'y,x,z'
'-x,y+1/2,-z'
'x,-y+1/2,z'
'y+1/2,x+1/2,-z'
'-y+1/2,-x+1/2,z'
loop_
_atom_site_label
_atom_site_type_symbol
_atom_site_fract_x
_atom_site_fract_y
_atom_site_fract_z
Dy1 Dy 0.2500 0.2500 0.1454
Ge1 Ge 0.2500 0.2500 0.7392
Mo1 Mo 0.2500 0.7500 0.5000
```

---

| no. | VASP energy (eV/atom) |
| --- | --- |
| 1 | -4.7049 |
| 2 | -5.2409 |
| 3 | -0.9334 |
| 4 | -3.7433 |
| 5 | -6.9136 |
| 6 | -7.1821 |